Record 1
## La2YRhO6 (PBE)

Data for an optimized crystal structure of La2YRhO6.

Structure (CIF):
```
data_La2YRhO6
_cell_length_a 5.7434
_cell_length_b 5.9672
_cell_length_c 9.9252
_cell_angle_alpha 90.00
_cell_angle_beta 124.03
_cell_angle_gamma 90.00
_space_group_name_H-M_alt 'P 1 21/c 1'
_space_group_IT_number 14
loop_
_space_group_symop_operation_xyz
'x,y,z'
'-x,-y,-z'
'-x,y+1/2,-z+1/2'
'x,-y+1/2,z+1/2'
loop_
_atom_site_label
_atom_site_type_symbol
_atom_site_fract_x
_atom_site_fract_y
_atom_site_fract_z
La1 La 0.2305 0.0563 0.2490
Y1 Y 0.5000 0.0000 0.0000
Rh1 Rh 0.0000 0.0000 0.5000
O1 O 0.1282 0.2080 0.9407
O2 O 0.2340 0.6949 0.9414
O3 O 0.3531 0.0437 0.7386
```

Summary:
* formation energy from raw total energies: -2764 meV per atom



Record 2
## Pu2GeRh (PBE)

Data for an optimized crystal structure of Pu2GeRh.

Structure (CIF):
```
data_Pu2GeRh
_cell_length_a 5.4046
_cell_length_b 3.4521
_cell_length_c 8.1474
_cell_angle_alpha 90.00
_cell_angle_beta 92.51
_cell_angle_gamma 90.00
_space_group_name_H-M_alt 'P 1 21/m 1'
_space_group_IT_number 11
loop_
_space_group_symop_operation_xyz
'x,y,z'
'-x,-y,-z'
'-x,y+1/2,-z'
'x,-y+1/2,z'
loop_
_atom_site_label
_atom_site_type_symbol
_atom_site_fract_x
_atom_site_fract_y
_atom_site_fract_z
Pu1 Pu 0.1246 0.2500 0.0597
Pu2 Pu 0.3728 0.7500 0.4483
Ge1 Ge 0.1361 0.2500 0.6967
Rh1 Rh 0.4352 0.7500 0.8401
```

Summary:
* ΔH_f (0 K): -0.151 eV per atom



Record 3
## CsYCr2 (PBE)

Data for an optimized crystal structure of CsYCr2.

Structure (CIF):
```
data_CsYCr2
_cell_length_a 7.8576
_cell_length_b 7.8576
_cell_length_c 7.8576
_cell_angle_alpha 90.00
_cell_angle_beta 90.00
_cell_angle_gamma 90.00
_space_group_name_H-M_alt 'F m -3 m'
_space_group_IT_number 225
_space_group_name_Hall '-F 4 2 3'
loop_
_atom_site_label
_atom_site_type_symbol
_atom_site_fract_x
_atom_site_fract_y
_atom_site_fract_z
Cs1 Cs 0.0000 0.0000 0.0000
Y1 Y 0.0000 0.0000 0.5000
Cr1 Cr 0.2500 0.2500 0.2500
```

Summary:
* ΔH_f (0 K): 1.313 eV per atom



Record 4
## AcTb2Bi2 (PBE)

Data for an optimized crystal structure of AcTb2Bi2.

Structure (CIF):
```
data_AcTb2Bi2
_cell_length_a 6.6269
_cell_length_b 6.6410
_cell_length_c 15.3482
_cell_angle_alpha 90.00
_cell_angle_beta 90.00
_cell_angle_gamma 90.00
_space_group_name_H-M_alt 'F m m m'
_space_group_IT_number 69
_space_group_name_Hall '-F 2 2'
loop_
_atom_site_label
_atom_site_type_symbol
_atom_site_fract_x
_atom_site_fract_y
_atom_site_fract_z
Ac1 Ac 0.0000 0.0000 0.0000
Tb1 Tb 0.2500 0.2500 0.2500
Bi1 Bi 0.0000 0.0000 0.3929
```

Summary:
* ΔH_f (0 K): -0.584 eV per atom



Number 1: magnetization 0.0000 μB/atom. Number 2: magnetization 0.4192 μB/atom. Number 3: magnetization 2.1858 μB/atom. Number 4: magnetization 0.0003 μB/atom.